Entry 1:
AlTl2In, relaxed, DFT GGA-PBE; ΔH_f (0 K) = 179 meV per atom; distance to the lowest polymorph of the same formula = 0.26 eV/f.u.; magnetization = 0.0000 μB per atom; final energy = -2.625 eV per atom; density of states at the Fermi level = 1.6 states/eV/cell
1.0
3.278 0.000 0.000
0.000 5.311 0.000
-1.098 0.000 6.217
Al Tl In
1 2 1
direct
0.000 0.000 0.000
0.359 0.500 0.238
0.641 0.500 0.762
0.000 0.000 0.500

---

Entry 2:
Al2TlIn2, relaxed, DFT GGA-PBE; ΔH_f (0 K) = 196 meV per atom; distance to the lowest polymorph of the same formula = 0.22 eV/f.u.; magnetization = 0.0000 μB per atom; final energy = -2.870 eV per atom; density of states at the Fermi level = 5.7 states/eV/cell
1.0
8.854 0.000 0.000
0.000 8.854 0.000
0.000 0.000 3.124
Al Tl In
4 2 4
direct
0.148 0.352 0.000
0.352 0.852 0.000
0.648 0.148 0.000
0.852 0.648 0.000
0.000 0.000 0.500
0.500 0.500 0.500
0.149 0.649 0.500
0.351 0.149 0.500
0.649 0.851 0.500
0.851 0.351 0.500

---

Entry 3:
Al4TlIn, relaxed, DFT GGA-PBE; ΔH_f (0 K) = 186 meV per atom; magnetization = 0.0000 μB per atom; final energy = -3.160 eV per atom; density of states at the Fermi level = 4.4 states/eV/cell
1.0
0.000 4.001 4.001
4.001 0.000 4.001
4.001 4.001 0.000
Al Tl In
4 1 1
direct
0.125 0.125 0.125
0.125 0.125 0.625
0.125 0.625 0.125
0.625 0.125 0.125
0.500 0.500 0.500
0.750 0.750 0.750